No. 1
# ErTcGe | Alexandria | PBE | relaxed
# **Total magnetic moment**: 0.0 Bohr magnetons per cell
# **Raw total energy**: -6.918 eV/atom
# **DFT formation energy**: -0.40 eV per atom
data_ErTcGe
_cell_length_a 3.3534
_cell_length_b 3.3534
_cell_length_c 9.9638
_cell_angle_alpha 90.00
_cell_angle_beta 90.00
_cell_angle_gamma 90.00
_space_group_name_H-M_alt 'I 4 m m'
_space_group_IT_number 107
_space_group_name_Hall 'I 4 -2'
loop_
_atom_site_label
_atom_site_type_symbol
_atom_site_fract_x
_atom_site_fract_y
_atom_site_fract_z
Er1 Er 0.0000 0.0000 0.0000
Tc1 Tc 0.0000 0.0000 0.6923
Ge1 Ge 0.0000 0.0000 0.2992

No. 2
# Er2Tc3Ge5 | Alexandria | PBE | relaxed
# **Total magnetic moment**: 1.5 Bohr magnetons per cell
# **Raw total energy**: -6.813 eV/atom
# **DFT formation energy**: -0.48 eV per atom
data_Er2Tc3Ge5
_cell_length_a 9.8199
_cell_length_b 12.8897
_cell_length_c 5.7080
_cell_angle_alpha 90.00
_cell_angle_beta 90.00
_cell_angle_gamma 90.00
_space_group_name_H-M_alt 'I b a m'
_space_group_IT_number 72
_space_group_name_Hall '-I 2 2c'
loop_
_atom_site_label
_atom_site_type_symbol
_atom_site_fract_x
_atom_site_fract_y
_atom_site_fract_z
Er1 Er 0.2388 0.1406 0.0000
Tc1 Tc 0.0000 0.5000 0.2500
Tc2 Tc 0.0816 0.1514 0.5000
Ge1 Ge 0.0000 0.0000 0.2500
Ge2 Ge 0.0000 0.2966 0.2500
Ge3 Ge 0.1876 0.4134 0.0000

No. 3
# ErTc2Ge3 | Alexandria | PBE | relaxed
# **Total magnetic moment**: 0.0 Bohr magnetons per cell
# **Raw total energy**: -6.807 eV/atom
# **DFT formation energy**: -0.28 eV per atom
data_ErTc2Ge3
_cell_length_a 9.3340
_cell_length_b 7.6554
_cell_length_c 5.9239
_cell_angle_alpha 90.00
_cell_angle_beta 90.00
_cell_angle_gamma 90.00
_space_group_name_H-M_alt 'C m c m'
_space_group_IT_number 63
_space_group_name_Hall '-C 2c 2'
loop_
_atom_site_label
_atom_site_type_symbol
_atom_site_fract_x
_atom_site_fract_y
_atom_site_fract_z
Er1 Er 0.0000 0.1346 0.2500
Tc1 Tc 0.2167 0.5000 0.0000
Ge1 Ge 0.0000 0.4961 0.7500
Ge2 Ge 0.1574 0.2157 0.7500

No. 4
# ErTc2Ge3 | Alexandria | PBE | relaxed
# **Total magnetic moment**: 0.0 Bohr magnetons per cell
# **Raw total energy**: -6.873 eV/atom
# **DFT formation energy**: -0.35 eV per atom
data_ErTc2Ge3
_cell_length_a 4.3948
_cell_length_b 11.4355
_cell_length_c 8.5857
_cell_angle_alpha 90.00
_cell_angle_beta 90.00
_cell_angle_gamma 90.00
_space_group_name_H-M_alt 'C m c m'
_space_group_IT_number 63
_space_group_name_Hall '-C 2c 2'
loop_
_atom_site_label
_atom_site_type_symbol
_atom_site_fract_x
_atom_site_fract_y
_atom_site_fract_z
Er1 Er 0.0000 0.1791 0.2500
Tc1 Tc 0.0000 0.0000 0.0000
Tc2 Tc 0.0000 0.4574 0.2500
Ge1 Ge 0.0000 0.1375 0.7500
Ge2 Ge 0.0000 0.3800 0.5332